1.
DFT (PBE) results for an optimized crystal structure of MnBeZn2.

The structure in POSCAR format:
```
MnBeZn2
1.0
-1.574 -1.765 1.098
0.238 -2.086 -3.012
4.161 -2.450 2.025
Zn Be Mn
2 1 1
Direct
0.000 0.000 0.494
0.000 0.000 0.006
0.500 0.500 0.250
0.500 0.500 0.750
```

## Properties
Calculated formation energy ... 14.66 kJ per mole of atoms

---

2.
DFT (PBE) results for an optimized crystal structure of AlFe6Ge.

The structure in POSCAR format:
```
AlFe6Ge
1.0
-0.826 4.037 -0.777
-3.048 -1.376 -3.913
-1.961 0.509 4.732
Fe Ge Al
6 1 1
Direct
0.500 0.911 0.089
0.000 0.589 0.411
0.500 0.911 0.573
0.000 0.072 0.411
0.500 0.427 0.089
0.000 0.589 0.928
0.500 0.417 0.583
0.000 0.083 0.917
```

## Properties
Calculated formation energy ... -12.81 kJ per mole of atoms
Polymorph energy (0 for the lowest one) ... 0.0168 eV per atom

---

3.
DFT (PBE) results for an optimized crystal structure of KMgSe.

The structure in POSCAR format:
```
KMgSe
1.0
8.396 0.000 0.003
0.000 4.242 0.000
-7.877 0.000 11.540
Mg Se K
4 4 4
Direct
0.062 0.000 0.843
0.906 0.500 0.934
0.906 0.000 0.434
0.062 0.500 0.343
0.704 0.000 0.810
0.704 0.500 0.310
0.993 0.000 0.640
0.993 0.500 0.140
0.662 0.000 0.081
0.662 0.500 0.581
0.324 0.000 0.201
0.324 0.500 0.701
```

## Properties
Energy relative to the elements, uncorrected ... -833 meV per atom
Polymorph energy (0 for the lowest one) ... 0.1185 eV per atom

---

4.
DFT (PBE) results for an optimized crystal structure of Sn2Ge2Pt3.

The structure in POSCAR format:
```
Sn2Ge2Pt3
1.0
3.804 0.000 0.000
0.000 5.794 0.071
-1.902 -2.659 6.435
Ge Pt Sn
2 3 2
Direct
0.824 0.670 0.648
0.176 0.330 0.352
0.766 0.204 0.532
0.234 0.796 0.468
0.000 0.000 0.000
0.576 0.768 0.153
0.424 0.232 0.847
```

## Properties
Calculated formation energy ... -40.64 kJ per mole of atoms
Polymorph energy (0 for the lowest one) ... 0.0238 eV per atom

---

5.
DFT (PBE) results for an optimized crystal structure of PaCuSn2O8.

The structure in POSCAR format:
```
PaCuSn2O8
1.0
4.948 0.017 -0.005
0.063 4.950 -0.005
0.008 0.005 6.404
Pa O Cu Sn
1 8 1 2
Direct
0.000 0.000 0.500
0.302 0.303 0.000
0.804 0.195 0.241
0.804 0.195 0.759
0.316 0.317 0.500
0.698 0.697 0.000
0.196 0.805 0.241
0.196 0.805 0.759
0.684 0.683 0.500
0.000 0.000 0.000
0.500 0.500 0.239
0.500 0.500 0.761
```

## Properties
Energy relative to the elements, uncorrected ... -1837 meV per atom

---

6.
DFT (PBE) results for an optimized crystal structure of Sb8PdAu2.

The structure in POSCAR format:
```
Sb8PdAu2
1.0
4.908 0.288 0.218
-0.009 9.078 1.749
-0.009 4.128 8.272
Sb Au Pd
8 2 1
Direct
0.185 0.335 0.839
0.765 0.602 0.602
0.158 0.832 0.832
0.815 0.665 0.161
0.235 0.398 0.398
0.842 0.168 0.168
0.185 0.839 0.335
0.815 0.161 0.665
0.674 0.764 0.764
0.326 0.236 0.236
0.000 0.000 0.000
```

## Properties
Energy relative to the elements, uncorrected ... 49 meV per atom

---

7.
DFT (PBE) results for an optimized crystal structure of POsF2.

The structure in POSCAR format:
```
POsF2
1.0
-3.822 -1.608 -0.404
-3.047 2.273 -1.704
-1.462 -0.974 -3.777
Os F P
1 2 1
Direct
0.500 0.500 0.500
0.250 0.250 0.250
0.750 0.750 0.750
0.000 0.000 0.000
```

## Properties
Energy relative to the elements, uncorrected ... 524 meV per atom
Polymorph energy (0 for the lowest one) ... 1.0649 eV per atom

---

8.
DFT (PBE) results for an optimized crystal structure of DyZn2Sb.

The structure in POSCAR format:
```
DyZn2Sb
1.0
-3.771 -0.649 -2.430
-1.344 -2.967 2.877
-2.002 3.114 2.276
Sb Zn Dy
1 2 1
Direct
0.500 0.500 0.500
0.000 0.500 0.000
0.000 0.000 0.500
0.500 0.000 0.000
```

## Properties
Energy relative to the elements, uncorrected ... -417 meV per atom

---

Number 1: electronic total energy -3.709 eV per atom. Number 2: electronic total energy -7.525 eV per atom. Number 3: electronic total energy -2.892 eV per atom. Number 4: electronic total energy -5.473 eV per atom. Number 5: electronic total energy -6.942 eV per atom. Number 6: electronic total energy -4.017 eV per atom. Number 7: electronic total energy -4.572 eV per atom. Number 8: electronic total energy -3.235 eV per atom.